The following is a PBE calculation of a relaxed structure of NiBr, from Alexandria.

Output
magnetic moment: 6.07 Bohr magnetons per cell
formation energy (no corrections): 38 meV/atom

abc: 9.3233 9.3233 3.8810
angles: 90.00 90.00 120.00
With the nearest neighbours (Å) after each atom.
Sites, in units of the cell vectors:
Ni  0.0262  0.4332  0.2500  4 Br 2.44-2.47, 2 Ni 2.48
Ni  0.4070  0.9738  0.2500  4 Br 2.44-2.47, 2 Ni 2.48
Ni  0.4332  0.4070  0.7500  4 Br 2.44-2.47, 2 Ni 2.48
Ni  0.5668  0.5930  0.2500  4 Br 2.44-2.47, 2 Ni 2.48
Ni  0.5930  0.0262  0.7500  4 Br 2.44-2.47, 2 Ni 2.48
Ni  0.9738  0.5668  0.7500  4 Br 2.44-2.47, 2 Ni 2.48
Br  0.1240  0.7319  0.2500  4 Ni 2.44-2.47
Br  0.2681  0.3921  0.2500  4 Ni 2.44-2.47
Br  0.3921  0.1240  0.7500  4 Ni 2.44-2.47
Br  0.6079  0.8760  0.2500  4 Ni 2.44-2.47
Br  0.7319  0.6079  0.7500  4 Ni 2.44-2.47
Br  0.8760  0.2681  0.7500  4 Ni 2.44-2.47